i:
VASP calculation (meta-GGA SCAN) on a PBEsol-optimized structure of Tl2CuTc.

Summary:
For the magnetization, the calculation gives 2.532 μB/cell. For the density of states at the Fermi level, the calculation gives 1.81 states/eV/f.u.

Lattice parameters (Å, degrees): 3.1377 5.2770 8.8970 90.00 90.00 90.00
Atoms (fractional coordinates):
Tl 0.0000 0.0000 0.2439
Tl 0.0000 0.0000 0.7561
Tl 0.5000 0.5000 0.2439
Tl 0.5000 0.5000 0.7561
Cu 0.0000 0.5000 0.0000
Cu 0.5000 0.0000 0.0000
Tc 0.0000 0.5000 0.5000
Tc 0.5000 0.0000 0.5000

***

ii:
VASP calculation (meta-GGA SCAN) on a PBEsol-optimized structure of Tl2CuTc.

Summary:
For the magnetization, the calculation gives 11.246 μB/cell. For the density of states at the Fermi level, the calculation gives 3.23 states/eV/f.u.

Lattice parameters (Å, degrees): 6.7095 6.7095 6.7095 90.00 90.00 90.00
Atoms (fractional coordinates):
Tl 0.0000 0.0000 0.0000
Tl 0.0000 0.5000 0.5000
Tl 0.2500 0.2500 0.2500
Tl 0.2500 0.7500 0.7500
Tl 0.5000 0.0000 0.5000
Tl 0.5000 0.5000 0.0000
Tl 0.7500 0.2500 0.7500
Tl 0.7500 0.7500 0.2500
Cu 0.0000 0.0000 0.5000
Cu 0.0000 0.5000 0.0000
Cu 0.5000 0.0000 0.0000
Cu 0.5000 0.5000 0.5000
Tc 0.2500 0.2500 0.7500
Tc 0.2500 0.7500 0.2500
Tc 0.7500 0.2500 0.2500
Tc 0.7500 0.7500 0.7500

***

iii:
VASP calculation (meta-GGA SCAN) on a PBEsol-optimized structure of Tl2CuTc.

Summary:
For the magnetization, the calculation gives 0.556 μB/cell. For the density of states at the Fermi level, the calculation gives 2.62 states/eV/f.u.

Lattice parameters (Å, degrees): 3.3931 3.3931 6.1038 90.00 90.00 90.00
Atoms (fractional coordinates):
Tl 0.0000 0.0000 0.2490
Tl 0.0000 0.0000 0.7510
Cu 0.5000 0.5000 0.0000
Tc 0.5000 0.5000 0.5000

***

The structure with the least stability is ii.

***

i:
VASP calculation (meta-GGA SCAN) on a PBEsol-optimized structure of TlCuTc.

Summary:
For the magnetization, the calculation gives 10.871 μB/cell. For the density of states at the Fermi level, the calculation gives 1.44 states/eV/f.u.

Lattice parameters (Å, degrees): 5.9568 5.9568 5.9568 90.00 90.00 90.00
Atoms (fractional coordinates):
Tl 0.0000 0.0000 0.0000
Tl 0.0000 0.5000 0.5000
Tl 0.5000 0.0000 0.5000
Tl 0.5000 0.5000 0.0000
Cu 0.2500 0.2500 0.7500
Cu 0.2500 0.7500 0.2500
Cu 0.7500 0.2500 0.2500
Cu 0.7500 0.7500 0.7500
Tc 0.0000 0.0000 0.5000
Tc 0.0000 0.5000 0.0000
Tc 0.5000 0.0000 0.0000
Tc 0.5000 0.5000 0.5000

***

ii:
VASP calculation (meta-GGA SCAN) on a PBEsol-optimized structure of TlCuTc.

Summary:
For the magnetization, the calculation gives 0.002 μB/cell. For the density of states at the Fermi level, the calculation gives 2.27 states/eV/f.u.

Lattice parameters (Å, degrees): 2.8269 3.4402 9.7579 90.00 90.00 90.00
Atoms (fractional coordinates):
Tl 0.0000 0.0000 0.0000
Tl 0.5000 0.5000 0.5000
Cu 0.0000 0.0000 0.6739
Cu 0.5000 0.5000 0.1739
Tc 0.0000 0.0000 0.3081
Tc 0.5000 0.5000 0.8081

***

The structure with the least stability is i.

***

i:
VASP calculation (meta-GGA SCAN) on a PBEsol-optimized structure of YCu2Tc.

Summary:
For the magnetization, the calculation gives 0.000 μB/cell. For the density of states at the Fermi level, the calculation gives 1.64 states/eV/f.u.

Lattice parameters (Å, degrees): 3.8586 3.8586 8.3391 90.00 90.00 90.00
Atoms (fractional coordinates):
Y 0.0000 0.0000 0.0000
Y 0.5000 0.5000 0.5000
Cu 0.0000 0.0000 0.5000
Cu 0.0000 0.5000 0.2500
Cu 0.5000 0.0000 0.7500
Cu 0.5000 0.5000 0.0000
Tc 0.0000 0.5000 0.7500
Tc 0.5000 0.0000 0.2500

***

ii:
VASP calculation (meta-GGA SCAN) on a PBEsol-optimized structure of YCu2Tc.

Summary:
For the magnetization, the calculation gives 0.003 μB/cell. For the density of states at the Fermi level, the calculation gives 3.72 states/eV/f.u.

Lattice parameters (Å, degrees): 3.2985 3.2985 5.7962 90.00 90.00 90.00
Atoms (fractional coordinates):
Y 0.0000 0.0000 0.0000
Cu 0.5000 0.5000 0.2943
Cu 0.5000 0.5000 0.7057
Tc 0.0000 0.0000 0.5000

***

The structure with the least stability is i.

***

i:
VASP calculation (meta-GGA SCAN) on a PBEsol-optimized structure of TlCu2W.

Summary:
For the magnetization, the calculation gives 0.000 μB/cell. For the density of states at the Fermi level, the calculation gives 2.11 states/eV/f.u.

Lattice parameters (Å, degrees): 2.8564 2.8564 26.8975 90.00 90.00 120.00
Atoms (fractional coordinates):
Tl 0.0000 0.0000 0.0000
Tl 0.3333 0.6667 0.6667
Tl 0.6667 0.3333 0.3333
Cu 0.0000 0.0000 0.2446
Cu 0.0000 0.0000 0.7554
Cu 0.3333 0.6667 0.4221
Cu 0.3333 0.6667 0.9113
Cu 0.6667 0.3333 0.0887
Cu 0.6667 0.3333 0.5779
W 0.0000 0.0000 0.5000
W 0.3333 0.6667 0.1667
W 0.6667 0.3333 0.8333

***

ii:
VASP calculation (meta-GGA SCAN) on a PBEsol-optimized structure of TlCu2W.

Summary:
For the magnetization, the calculation gives 0.000 μB/cell. For the density of states at the Fermi level, the calculation gives 1.91 states/eV/f.u.

Lattice parameters (Å, degrees): 2.8172 4.8367 9.3230 90.00 90.00 90.00
Atoms (fractional coordinates):
Tl 0.0000 0.0000 0.0000
Tl 0.5000 0.5000 0.5000
Cu 0.0000 0.5000 0.2386
Cu 0.0000 0.5000 0.7614
Cu 0.5000 0.0000 0.2614
Cu 0.5000 0.0000 0.7386
W 0.0000 0.0000 0.5000
W 0.5000 0.5000 0.0000

***

The structure with the least stability is ii.

***

i:
VASP calculation (meta-GGA SCAN) on a PBEsol-optimized structure of YTl2Cu.

Summary:
For the magnetization, the calculation gives 0.000 μB/cell. For the density of states at the Fermi level, the calculation gives 1.38 states/eV/f.u.

Lattice parameters (Å, degrees): 7.0462 7.0462 7.0462 90.00 90.00 90.00
Atoms (fractional coordinates):
Y 0.0000 0.0000 0.0000
Y 0.0000 0.5000 0.5000
Y 0.5000 0.0000 0.5000
Y 0.5000 0.5000 0.0000
Tl 0.2500 0.2500 0.2500
Tl 0.2500 0.2500 0.7500
Tl 0.2500 0.7500 0.2500
Tl 0.2500 0.7500 0.7500
Tl 0.7500 0.2500 0.2500
Tl 0.7500 0.2500 0.7500
Tl 0.7500 0.7500 0.2500
Tl 0.7500 0.7500 0.7500
Cu 0.0000 0.0000 0.5000
Cu 0.0000 0.5000 0.0000
Cu 0.5000 0.0000 0.0000
Cu 0.5000 0.5000 0.5000

***

ii:
VASP calculation (meta-GGA SCAN) on a PBEsol-optimized structure of YTl2Cu.

Summary:
For the magnetization, the calculation gives 0.000 μB/cell. For the density of states at the Fermi level, the calculation gives 2.03 states/eV/f.u.

Lattice parameters (Å, degrees): 4.5092 4.5092 8.7760 90.00 90.00 90.00
Atoms (fractional coordinates):
Y 0.0000 0.0000 0.0000
Y 0.5000 0.5000 0.5000
Tl 0.0000 0.0000 0.5000
Tl 0.0000 0.5000 0.7500
Tl 0.5000 0.0000 0.2500
Tl 0.5000 0.5000 0.0000
Cu 0.0000 0.5000 0.2500
Cu 0.5000 0.0000 0.7500

***

The structure with the least stability is ii.

***

i:
VASP calculation (meta-GGA SCAN) on a PBEsol-optimized structure of CuW3.

Summary:
For the magnetization, the calculation gives 0.000 μB/cell. For the density of states at the Fermi level, the calculation gives 1.98 states/eV/f.u.

Lattice parameters (Å, degrees): 9.1075 2.6308 5.0173 90.00 96.45 90.00
Atoms (fractional coordinates):
Cu 0.0000 0.0000 0.0000
Cu 0.5000 0.5000 0.0000
W 0.0000 0.5000 0.5000
W 0.2431 0.5000 0.2407
W 0.2569 0.0000 0.7593
W 0.5000 0.0000 0.5000
W 0.7431 0.0000 0.2407
W 0.7569 0.5000 0.7593

***

ii:
VASP calculation (meta-GGA SCAN) on a PBEsol-optimized structure of CuW3.

Summary:
For the magnetization, the calculation gives 0.000 μB/cell. For the density of states at the Fermi level, the calculation gives 2.03 states/eV/f.u.

Lattice parameters (Å, degrees): 2.6605 2.6605 8.3584 90.00 90.00 90.00
Atoms (fractional coordinates):
Cu 0.0000 0.0000 0.0000
W 0.0000 0.0000 0.5000
W 0.5000 0.5000 0.2284
W 0.5000 0.5000 0.7716

***

The structure with the least stability is i.

***

i:
VASP calculation (meta-GGA SCAN) on a PBEsol-optimized structure of ZrCu2W.

Summary:
For the magnetization, the calculation gives 0.000 μB/cell. For the density of states at the Fermi level, the calculation gives 3.16 states/eV/f.u.

Lattice parameters (Å, degrees): 3.9421 3.9421 7.6340 90.00 90.00 90.00
Atoms (fractional coordinates):
Zr 0.0000 0.0000 0.0000
Zr 0.5000 0.5000 0.5000
Cu 0.0000 0.5000 0.2500
Cu 0.0000 0.5000 0.7500
Cu 0.5000 0.0000 0.2500
Cu 0.5000 0.0000 0.7500
W 0.0000 0.0000 0.5000
W 0.5000 0.5000 0.0000

***

ii:
VASP calculation (meta-GGA SCAN) on a PBEsol-optimized structure of ZrCu2W.

Summary:
For the magnetization, the calculation gives 0.764 μB/cell. For the density of states at the Fermi level, the calculation gives 2.78 states/eV/f.u.

Lattice parameters (Å, degrees): 3.2414 3.2414 5.7737 90.00 90.00 90.00
Atoms (fractional coordinates):
Zr 0.0000 0.0000 0.0000
Cu 0.0000 0.0000 0.4813
Cu 0.5000 0.5000 0.2683
W 0.5000 0.5000 0.7090

***

The structure with the least stability is ii.

***

i:
VASP calculation (meta-GGA SCAN) on a PBEsol-optimized structure of ZrCu2W.

Summary:
For the magnetization, the calculation gives 0.000 μB/cell. For the density of states at the Fermi level, the calculation gives 2.73 states/eV/f.u.

Lattice parameters (Å, degrees): 2.7714 2.7714 7.6774 90.00 90.00 90.00
Atoms (fractional coordinates):
Zr 0.0000 0.0000 0.0000
Cu 0.5000 0.5000 0.2664
Cu 0.5000 0.5000 0.7336
W 0.0000 0.0000 0.5000

***

ii:
VASP calculation (meta-GGA SCAN) on a PBEsol-optimized structure of ZrCu2W.

Summary:
For the magnetization, the calculation gives 0.000 μB/cell. For the density of states at the Fermi level, the calculation gives 3.05 states/eV/f.u.

Lattice parameters (Å, degrees): 3.7881 3.7881 8.3417 90.00 90.00 90.00
Atoms (fractional coordinates):
Zr 0.0000 0.0000 0.0000
Zr 0.5000 0.5000 0.5000
Cu 0.0000 0.0000 0.5000
Cu 0.0000 0.5000 0.2500
Cu 0.5000 0.0000 0.7500
Cu 0.5000 0.5000 0.0000
W 0.0000 0.5000 0.7500
W 0.5000 0.0000 0.2500

***

The structure with the least stability is ii.

***

i:
VASP calculation (meta-GGA SCAN) on a PBEsol-optimized structure of YZr2Cu.

Summary:
For the magnetization, the calculation gives 0.000 μB/cell. For the density of states at the Fermi level, the calculation gives 4.62 states/eV/f.u.

Lattice parameters (Å, degrees): 5.9974 9.0014 3.1035 90.00 90.00 90.00
Atoms (fractional coordinates):
Y 0.0000 0.0000 0.0000
Y 0.5000 0.5000 0.0000
Zr 0.2500 0.2500 0.5000
Zr 0.2500 0.7500 0.5000
Zr 0.7500 0.2500 0.5000
Zr 0.7500 0.7500 0.5000
Cu 0.0000 0.5000 0.0000
Cu 0.5000 0.0000 0.0000

***

ii:
VASP calculation (meta-GGA SCAN) on a PBEsol-optimized structure of YZr2Cu.

Summary:
For the magnetization, the calculation gives 0.000 μB/cell. For the density of states at the Fermi level, the calculation gives 4.12 states/eV/f.u.

Lattice parameters (Å, degrees): 3.2296 3.2296 28.6261 90.00 90.00 120.00
Atoms (fractional coordinates):
Y 0.0000 0.0000 0.0000
Y 0.3333 0.6667 0.6667
Y 0.6667 0.3333 0.3333
Zr 0.0000 0.0000 0.2376
Zr 0.0000 0.0000 0.7624
Zr 0.3333 0.6667 0.4291
Zr 0.3333 0.6667 0.9043
Zr 0.6667 0.3333 0.0957
Zr 0.6667 0.3333 0.5709
Cu 0.0000 0.0000 0.5000
Cu 0.3333 0.6667 0.1667
Cu 0.6667 0.3333 0.8333

***

iii:
VASP calculation (meta-GGA SCAN) on a PBEsol-optimized structure of YZr2Cu.

Summary:
For the magnetization, the calculation gives 0.000 μB/cell. For the density of states at the Fermi level, the calculation gives 3.93 states/eV/f.u.

Lattice parameters (Å, degrees): 3.2259 5.0978 5.2066 90.00 98.53 90.00
Atoms (fractional coordinates):
Y 0.0000 0.0000 0.0000
Zr 0.3207 0.5000 0.7306
Zr 0.6793 0.5000 0.2694
Cu 0.5000 0.0000 0.5000

***

The structure with the least stability is i.

***

i:
VASP calculation (meta-GGA SCAN) on a PBEsol-optimized structure of YZr2Cu.

Summary:
For the magnetization, the calculation gives 0.000 μB/cell. For the density of states at the Fermi level, the calculation gives 3.47 states/eV/f.u.

Lattice parameters (Å, degrees): 3.2662 4.9039 10.6642 90.00 90.00 90.00
Atoms (fractional coordinates):
Y 0.0000 0.0000 0.0000
Y 0.5000 0.5000 0.5000
Zr 0.0000 0.5000 0.2124
Zr 0.0000 0.5000 0.7876
Zr 0.5000 0.0000 0.2876
Zr 0.5000 0.0000 0.7124
Cu 0.0000 0.0000 0.5000
Cu 0.5000 0.5000 0.0000

***

ii:
VASP calculation (meta-GGA SCAN) on a PBEsol-optimized structure of YZr2Cu.

Summary:
For the magnetization, the calculation gives 0.001 μB/cell. For the density of states at the Fermi level, the calculation gives 5.13 states/eV/f.u.

Lattice parameters (Å, degrees): 4.3512 4.3512 8.7178 90.00 90.00 90.00
Atoms (fractional coordinates):
Y 0.0000 0.0000 0.0000
Y 0.5000 0.5000 0.5000
Zr 0.0000 0.0000 0.5000
Zr 0.0000 0.5000 0.2500
Zr 0.5000 0.0000 0.7500
Zr 0.5000 0.5000 0.0000
Cu 0.0000 0.5000 0.7500
Cu 0.5000 0.0000 0.2500

***

The structure with the least stability is ii.

***

i:
VASP calculation (meta-GGA SCAN) on a PBEsol-optimized structure of Zn4Cu5.

Summary:
For the magnetization, the calculation gives 0.000 μB/cell. For the density of states at the Fermi level, the calculation gives 2.03 states/eV/f.u.

Lattice parameters (Å, degrees): 7.1614 7.1614 4.9909 90.00 90.00 120.00
Atoms (fractional coordinates):
Zn 0.0000 0.0000 0.0000
Zn 0.0000 0.0000 0.5000
Zn 0.0000 0.3594 0.2500
Zn 0.0000 0.6406 0.7500
Zn 0.3594 0.0000 0.2500
Zn 0.3594 0.3594 0.7500
Zn 0.6406 0.0000 0.7500
Zn 0.6406 0.6406 0.2500
Cu 0.0000 0.3106 0.7500
Cu 0.0000 0.6894 0.2500
Cu 0.3106 0.0000 0.7500
Cu 0.3106 0.3106 0.2500
Cu 0.3333 0.6667 0.0000
Cu 0.3333 0.6667 0.5000
Cu 0.6667 0.3333 0.0000
Cu 0.6667 0.3333 0.5000
Cu 0.6894 0.0000 0.2500
Cu 0.6894 0.6894 0.7500

***

ii:
VASP calculation (meta-GGA SCAN) on a PBEsol-optimized structure of Zn4Cu5.

Summary:
For the magnetization, the calculation gives 0.000 μB/cell. For the density of states at the Fermi level, the calculation gives 2.42 states/eV/f.u.

Lattice parameters (Å, degrees): 5.7357 5.7357 5.7357 96.12 96.12 141.87
Atoms (fractional coordinates):
Zn 0.0000 0.3244 0.3244
Zn 0.0000 0.6756 0.6756
Zn 0.3244 0.0000 0.3244
Zn 0.6756 0.0000 0.6756
Cu 0.0000 0.0000 0.0000
Cu 0.3344 0.3344 0.6688
Cu 0.3344 0.6656 0.0000
Cu 0.6656 0.3344 0.0000
Cu 0.6656 0.6656 0.3312

***

The structure with the least stability is i.

***

i:
VASP calculation (meta-GGA SCAN) on a PBEsol-optimized structure of Zn4Cu3.

Summary:
For the magnetization, the calculation gives 0.000 μB/cell. For the density of states at the Fermi level, the calculation gives 3.01 states/eV/f.u.

Lattice parameters (Å, degrees): 4.7441 4.7441 4.6710 90.00 90.00 120.00
Atoms (fractional coordinates):
Zn 0.0000 0.0000 0.2489
Zn 0.0000 0.0000 0.7511
Zn 0.3333 0.6667 0.0000
Zn 0.6667 0.3333 0.0000
Cu 0.0000 0.5000 0.5000
Cu 0.5000 0.0000 0.5000
Cu 0.5000 0.5000 0.5000

***

ii:
VASP calculation (meta-GGA SCAN) on a PBEsol-optimized structure of Zn4Cu3.

Summary:
For the magnetization, the calculation gives 0.000 μB/cell. For the density of states at the Fermi level, the calculation gives 1.74 states/eV/f.u.

Lattice parameters (Å, degrees): 2.9498 2.9498 20.2525 90.00 90.00 90.00
Atoms (fractional coordinates):
Zn 0.0000 0.0000 0.0699
Zn 0.0000 0.0000 0.3513
Zn 0.0000 0.0000 0.6487
Zn 0.0000 0.0000 0.9301
Zn 0.5000 0.5000 0.1487
Zn 0.5000 0.5000 0.4301
Zn 0.5000 0.5000 0.5699
Zn 0.5000 0.5000 0.8513
Cu 0.0000 0.0000 0.2166
Cu 0.0000 0.0000 0.5000
Cu 0.0000 0.0000 0.7834
Cu 0.5000 0.5000 0.0000
Cu 0.5000 0.5000 0.2834
Cu 0.5000 0.5000 0.7166

***

The structure with the least stability is i.